a:
DFT (PBE) results for SnSbAu after structural relaxation.

Lattice parameters (Å, degrees): 3.1837 3.1837 8.0865 101.35 101.35 90.00
With the nearest neighbours (Å) after each atom.
Sites, in units of the cell vectors:
Sb1 0.9423 0.9423 0.8846  1 Au 2.75
Au1 0.7655 0.7655 0.5310  1 Sb 2.75, 4 Sn 2.96
Sn1 0.1422 0.1422 0.2843  4 Au 2.96, 1 Sb 3.10, 4 Sn 3.18

Results
DOS at the Fermi energy: 0.47 states/eV/atom
Space group: I4mm, No. 107
Size of the total moment: 0.00 μB per cell


b:
DFT (PBE) results for SnSbAu after structural relaxation.

Lattice parameters (Å, degrees): 6.8899 6.8899 6.9585 60.33 60.33 60.00
With the nearest neighbours (Å) after each atom.
Sites, in units of the cell vectors:
Au1 0.1549 0.1549 0.5352  3 Sb 2.77, 1 Au 2.88, 3 Sn 3.01
Au2 0.3231 0.3231 0.0307  3 Sb 2.79, 1 Au 2.88, 3 Sn 2.98
Au3 0.6625 0.6625 0.0126  3 Sb 2.79, 3 Sn 2.81
Sb1 0.7180 0.4642 0.7147  3 Au 2.77-2.79, 1 Sn 3.04
Sb2 0.1032 0.7180 0.7147  3 Au 2.77-2.79, 1 Sn 3.04
Sb3 0.4642 0.1032 0.7147  3 Au 2.77-2.79, 1 Sn 3.04
Sn1 0.6399 0.8806 0.2770  3 Au 2.81-3.01, 1 Sb 3.04
Sn2 0.8806 0.2025 0.2770  3 Au 2.81-3.01, 1 Sb 3.04
Sn3 0.2025 0.6399 0.2770  3 Au 2.81-3.01, 1 Sb 3.04

Results
DOS at the Fermi energy: 0.42 states/eV/atom
Space group: R3, No. 146
Size of the total moment: 0.00 μB per cell


Of them, a has the lowest stability.


a:
DFT (PBE) results for SnSbAu after structural relaxation.

Lattice parameters (Å, degrees): 4.8633 7.8329 9.0355 90.00 90.00 90.00
With the nearest neighbours (Å) after each atom.
Sites, in units of the cell vectors:
Sn1 0.2500 0.9123 0.0389  2 Au 2.77-2.79, 2 Sn 2.88, 1 Sb 3.07
Sn2 0.7500 0.0877 0.9611  2 Au 2.77-2.79, 2 Sn 2.88, 1 Sb 3.07
Sn3 0.2500 0.5877 0.5389  2 Au 2.77-2.79, 2 Sn 2.88, 1 Sb 3.07
Sn4 0.7500 0.4123 0.4611  2 Au 2.77-2.79, 2 Sn 2.88, 1 Sb 3.07
Sb1 0.7500 0.0446 0.3423  4 Au 2.82-3.00, 1 Sn 3.07
Sb2 0.2500 0.5446 0.1577  4 Au 2.82-3.00, 1 Sn 3.07
Sb3 0.7500 0.4554 0.8423  4 Au 2.82-3.00, 1 Sn 3.07
Sb4 0.2500 0.9554 0.6577  4 Au 2.82-3.00, 1 Sn 3.07
Au1 0.2500 0.8622 0.3425  2 Sn 2.77-2.79, 4 Sb 2.82-3.00
Au2 0.7500 0.3622 0.1575  2 Sn 2.77-2.79, 4 Sb 2.82-3.00
Au3 0.2500 0.6378 0.8425  2 Sn 2.77-2.79, 4 Sb 2.82-3.00
Au4 0.7500 0.1378 0.6575  2 Sn 2.77-2.79, 4 Sb 2.82-3.00

Results
DOS at the Fermi energy: 0.39 states/eV/atom
Space group: Pnma, No. 62
Size of the total moment: 0.00 μB per cell


b:
DFT (PBE) results for SnSbAu after structural relaxation.

Lattice parameters (Å, degrees): 4.8407 4.8407 4.8407 60.00 60.00 60.00
With the nearest neighbours (Å) after each atom.
Sites, in units of the cell vectors:
Sb1 0.5000 0.5000 0.5000  4 Au 2.96
Au1 0.2500 0.2500 0.2500  4 Sb 2.96, 4 Sn 2.96
Sn1 0.0000 0.0000 0.0000  4 Au 2.96

Results
DOS at the Fermi energy: 0.59 states/eV/atom
Space group: F-43m, No. 216
Size of the total moment: 0.00 μB per cell


c:
DFT (PBE) results for SnSbAu after structural relaxation.

Lattice parameters (Å, degrees): 5.0538 4.1877 4.1877 120.00 90.00 90.00
With the nearest neighbours (Å) after each atom.
Sites, in units of the cell vectors:
Sb1 0.2868 0.3333 0.6667  3 Au 2.81
Au1 0.0046 0.0000 0.0000  3 Sb 2.81, 3 Sn 2.84
Sn1 0.7086 0.6667 0.3333  3 Au 2.84

Results
DOS at the Fermi energy: 0.46 states/eV/atom
Space group: P3m1, No. 156
Size of the total moment: 0.00 μB per cell


Of them, a has the lowest stability.


a:
DFT (PBE) results for Sn2SbAu2 after structural relaxation.

Lattice parameters (Å, degrees): 8.4630 8.4630 3.3849 90.00 90.00 90.00
With the nearest neighbours (Å) after each atom.
Sites, in units of the cell vectors:
Sb1 0.0000 0.0000 0.0000  4 Sn 3.09, 2 Sb 3.38
Sb2 0.5000 0.5000 0.0000  4 Sn 3.09, 2 Sb 3.38
Au1 0.1162 0.6162 0.5000  1 Au 2.78, 2 Sn 2.91
Au2 0.6162 0.8838 0.5000  1 Au 2.78, 2 Sn 2.91
Au3 0.8838 0.3838 0.5000  1 Au 2.78, 2 Sn 2.91
Au4 0.3838 0.1162 0.5000  1 Au 2.78, 2 Sn 2.91
Sn1 0.3139 0.8139 0.0000  6 Au 2.91-3.12, 2 Sb 3.09
Sn2 0.8139 0.6861 0.0000  6 Au 2.91-3.12, 2 Sb 3.09
Sn3 0.6861 0.1861 0.0000  6 Au 2.91-3.12, 2 Sb 3.09
Sn4 0.1861 0.3139 0.0000  6 Au 2.91-3.12, 2 Sb 3.09

Results
DOS at the Fermi energy: 0.50 states/eV/atom
Space group: P4/mbm, No. 127
Size of the total moment: 0.00 μB per cell


b:
DFT (PBE) results for Sn2SbAu2 after structural relaxation.

Lattice parameters (Å, degrees): 4.4447 7.3006 8.4998 90.00 90.00 107.72
With the nearest neighbours (Å) after each atom.
Sites, in units of the cell vectors:
Sn1 0.8662 0.7325 0.1630  4 Au 2.80-2.83
Sn2 0.3925 0.7850 0.8351  3 Au 2.81-2.84, 1 Sb 3.01
Sn3 0.1338 0.2675 0.6630  4 Au 2.80-2.83
Sn4 0.6075 0.2150 0.3351  3 Au 2.81-2.84, 1 Sb 3.01
Sb1 0.6350 0.2701 0.9843  4 Au 2.89-2.92, 1 Sn 3.01
Sb2 0.3650 0.7299 0.4843  4 Au 2.89-2.92, 1 Sn 3.01
Au1 0.2541 0.5083 0.0816  3 Sn 2.80-2.84, 2 Sb 2.89
Au2 0.0049 0.0098 0.9214  4 Sn 2.81-2.83, 2 Sb 2.92
Au3 0.7459 0.4917 0.5816  3 Sn 2.80-2.84, 2 Sb 2.89
Au4 0.9951 0.9902 0.4214  4 Sn 2.81-2.83, 2 Sb 2.92

Results
DOS at the Fermi energy: 0.28 states/eV/atom
Space group: Cmc2_1, No. 36
Size of the total moment: 0.00 μB per cell


Of them, a has the lowest stability.